This record from Alexandria via LeMat-Bulk describes a relaxed Nb2Pd3Pt2 crystal. The functional is PBE-GGA.

Calculated values
- Volume: 120.6 Å³/f.u.
- Energy: -7.019 eV per atom
- Mass density: 12.32 g/cm3
- E_form: -1.3 eV/f.u.
- Crystal system: monoclinic

extended XYZ file:
```
14
Lattice="4.8055 0.0000 0.0000 0.0000 10.3714 0.0000 -1.9112 0.0000 4.8410" Properties=species:S:1:pos:R:3 pbc="T T T"
Nb -0.2168 1.7913 2.0633
Nb -1.1724 3.3944 4.4838
Nb 4.0666 6.9770 0.3571
Nb 3.1110 8.5800 2.7776
Pd 0.0000 0.0000 0.0000
Pd -0.9556 5.1857 2.4205
Pd 1.5108 5.4768 0.9887
Pd 0.5552 10.0803 3.4092
Pd 2.3390 0.2911 1.4318
Pd 1.3834 4.8946 3.8522
Pt 0.6858 7.4009 2.8706
Pt 1.6414 8.1562 0.4501
Pt 1.2529 2.2152 4.3909
Pt 2.2085 2.9705 1.9704
```